No. 1
The following is a PBE-GGA calculation of a geometry-optimized Pm2Cu2Sn structure, from Alexandria via LeMat-Bulk.

abc: 7.559 7.559 3.961
angles: 90.00 90.00 90.00
Space group P4/mbm (No. 127)
Inequivalent atoms, fractional coordinates:
1 Pm 0.176 0.324 0.000 (multiplicity 4)
2 Cu 0.118 0.618 0.500 (multiplicity 4)
3 Sn 0.000 0.000 0.500 (multiplicity 2)

Values from the calculation:
The total magnetization is 0.00 μB per formula unit. The total energy is -4.78 eV/atom. The formation enthalpy at 0 K comes out at -10.07 kcal/mol of atoms.


No. 2
The following is a PBE-GGA calculation of a geometry-optimized PmCuSn2 structure, from Alexandria via LeMat-Bulk.

abc: 4.453 4.453 9.575
angles: 90.00 90.00 90.00
Space group P4/nmm (No. 129, origin choice 2)
Inequivalent atoms, fractional coordinates:
1 Pm 0.250 0.250 0.232 (multiplicity 2)
2 Cu 0.250 0.750 0.000 (multiplicity 2)
3 Sn 0.250 0.250 0.839 (multiplicity 2)
4 Sn 0.250 0.750 0.500 (multiplicity 2)

Values from the calculation:
The total magnetization is 0.00 μB per formula unit. The total energy is -4.69 eV/atom. The formation enthalpy at 0 K comes out at -10.98 kcal/mol of atoms. The value obtained for the polymorph energy (0 for the lowest one) is 0 meV per atom.


No. 3
The following is a PBE-GGA calculation of a geometry-optimized PmCu9Sn2 structure, from Alexandria via LeMat-Bulk.

abc: 8.521 8.521 5.016
angles: 90.00 90.00 90.00
Space group P4/mbm (No. 127)
Inequivalent atoms, fractional coordinates:
1 Pm 0.000 0.000 0.000 (multiplicity 2)
2 Cu 0.000 0.500 0.500 (multiplicity 2)
3 Cu 0.066 0.204 0.500 (multiplicity 8)
4 Cu 0.172 0.672 0.247 (multiplicity 8)
5 Sn 0.130 0.370 0.000 (multiplicity 4)

Values from the calculation:
The total magnetization is 0.00 μB per formula unit. The total energy is -4.29 eV/atom. The formation enthalpy at 0 K comes out at -3.63 kcal/mol of atoms. The value obtained for the polymorph energy (0 for the lowest one) is 0 meV per atom.


No. 4
The following is a PBE-GGA calculation of a geometry-optimized Pm12CuSn6 structure, from Alexandria via LeMat-Bulk.

abc: 13.4638 13.4638 12.6143
angles: 90.00 90.00 120.00
Space group R-3 (No. 148, hexagonal axes)
Inequivalent atoms, fractional coordinates:
1 Pm 0.0312 0.1999 0.3944 (multiplicity 18)
2 Pm 0.0655 0.2010 0.8810 (multiplicity 18)
3 Cu 0.0000 0.0000 0.0000 (multiplicity 3)
4 Sn 0.0462 0.2812 0.6427 (multiplicity 18)

Values from the calculation:
The total magnetization is 0.00 μB per formula unit. The total energy is -4.82 eV/atom. The formation enthalpy at 0 K comes out at -7.90 kcal/mol of atoms.


No. 5
The following is a PBE-GGA calculation of a geometry-optimized Pm4Cu2Sn5 structure, from Alexandria via LeMat-Bulk.

abc: 7.496 4.327 8.910
angles: 90.00 90.74 90.00
Space group P2/m (No. 10)
Inequivalent atoms, fractional coordinates:
1 Pm 0.219 0.000 0.364 (multiplicity 2)
2 Pm 0.243 0.000 0.897 (multiplicity 2)
3 Cu 0.076 0.500 0.120 (multiplicity 2)
4 Sn 0.118 0.500 0.635 (multiplicity 2)
5 Sn 0.428 0.500 0.155 (multiplicity 2)
6 Sn 0.500 0.500 0.500 (multiplicity 1)

Values from the calculation:
The total magnetization is 0.00 μB per formula unit. The total energy is -4.84 eV/atom. The formation enthalpy at 0 K comes out at -12.63 kcal/mol of atoms.


No. 6
The following is a PBE-GGA calculation of a geometry-optimized PmCu2Sn structure, from Alexandria via LeMat-Bulk.

abc: 6.744 6.744 6.744
angles: 90.00 90.00 90.00
Space group Fm-3m (No. 225)
Inequivalent atoms, fractional coordinates:
1 Pm 0.000 0.000 0.000 (multiplicity 4)
2 Cu 0.250 0.250 0.250 (multiplicity 8)
3 Sn 0.000 0.000 0.500 (multiplicity 4)

Values from the calculation:
The total magnetization is 0.00 μB per formula unit. The total energy is -4.59 eV/atom. The formation enthalpy at 0 K comes out at -8.17 kcal/mol of atoms. The value obtained for the polymorph energy (0 for the lowest one) is 0 meV per atom.


No. 7
The following is a PBE-GGA calculation of a geometry-optimized Pm3Cu2Sn6 structure, from Alexandria via LeMat-Bulk.

abc: 4.422 4.422 29.352
angles: 90.00 90.00 90.00
Space group I4/mmm (No. 139)
Inequivalent atoms, fractional coordinates:
1 Pm 0.000 0.000 0.000 (multiplicity 2)
2 Pm 0.000 0.000 0.165 (multiplicity 4)
3 Cu 0.000 0.000 0.359 (multiplicity 4)
4 Sn 0.000 0.000 0.270 (multiplicity 4)
5 Sn 0.000 0.500 0.082 (multiplicity 8)

Values from the calculation:
The total magnetization is 0.00 μB per formula unit. The total energy is -4.70 eV/atom. The formation enthalpy at 0 K comes out at -11.00 kcal/mol of atoms.


No. 8
The following is a PBE-GGA calculation of a geometry-optimized Pm2CuSn2 structure, from Alexandria via LeMat-Bulk.

abc: 11.372 4.551 11.118
angles: 90.00 117.40 90.00
Space group C2/m (No. 12)
Inequivalent atoms, fractional coordinates:
1 Pm 0.006 0.000 0.332 (multiplicity 4)
2 Pm 0.185 0.000 0.107 (multiplicity 4)
3 Cu 0.212 0.500 0.344 (multiplicity 4)
4 Sn 0.026 0.500 0.880 (multiplicity 4)
5 Sn 0.157 0.500 0.567 (multiplicity 4)

Values from the calculation:
The total magnetization is 0.00 μB per formula unit. The total energy is -4.96 eV/atom. The formation enthalpy at 0 K comes out at -14.65 kcal/mol of atoms.


Which value of formation enthalpy at 0 K does entry 7 give?
-11.00 kcal/mol of atoms